SrY2Au | GGA-PBE | relaxed

As for the density of states at the Fermi level: 5.7 states/eV/f.u. The value obtained for the energy above the most stable polymorph in this dataset is 308 meV/atom. The calculation puts the formation enthalpy at 0 K at -0.036 eV/atom. The calculation puts the total energy at -4.508 eV per atom.

The structure belongs to space group I-4m2 (No. 119); the cell edges are 4.701, 4.701 and 10.561 Å and the angles 90.00°, 90.00° and 90.00°. The distinct sites, in fractional coordinates, are Sr at (0.000, 0.000, 0.000), Y at (0.000, 0.000, 0.500), Y at (0.000, 0.500, 0.750) and Au at (0.000, 0.500, 0.250).

SrY2Au2 | GGA-PBE | relaxed

As for the density of states at the Fermi level: 0.8 states/eV/f.u. The value obtained for the energy above the most stable polymorph in this dataset is 34 meV/atom. The calculation puts the formation enthalpy at 0 K at -0.583 eV/atom. The calculation puts the total energy at -4.816 eV per atom.

The structure belongs to space group I4/mmm (No. 139); the cell edges are 4.969, 4.969 and 11.975 Å and the angles 90.00°, 90.00° and 90.00°. The distinct sites, in fractional coordinates, are Sr at (0.000, 0.000, 0.000), Y at (0.000, 0.500, 0.250) and Au at (0.000, 0.000, 0.384).

SrY2Au | GGA-PBE | relaxed

As for the density of states at the Fermi level: 4.1 states/eV/f.u. The value obtained for the energy above the most stable polymorph in this dataset is 370 meV/atom. The calculation puts the formation enthalpy at 0 K at 0.026 eV/atom. The calculation puts the total energy at -4.446 eV per atom.

The structure belongs to space group F-43m (No. 216); the cell edges are 7.792, 7.792 and 7.792 Å and the angles 90.00°, 90.00° and 90.00°. The distinct sites, in fractional coordinates, are Sr at (0.000, 0.000, 0.000), Y at (0.000, 0.000, 0.500), Y at (0.250, 0.250, 0.750) and Au at (0.250, 0.250, 0.250).

Sr2YZnAu | GGA-PBE | relaxed

As for the density of states at the Fermi level: 4.9 states/eV/f.u. The calculation puts the formation enthalpy at 0 K at 0.564 eV/atom. The calculation puts the total energy at -2.312 eV per atom.

The structure belongs to space group P4/mmm (No. 123); the cell edges are 6.650, 6.650 and 5.255 Å and the angles 90.00°, 90.00° and 90.00°. The distinct sites, in fractional coordinates, are Sr at (0.000, 0.500, 0.000), Y at (0.000, 0.000, 0.000), Zn at (0.500, 0.500, 0.500) and Au at (0.000, 0.000, 0.500).

SrYZn2Au5 | GGA-PBE | relaxed

As for the density of states at the Fermi level: 2.8 states/eV/f.u. The calculation puts the formation enthalpy at 0 K at -0.469 eV/atom. The calculation puts the total energy at -3.477 eV per atom.

The structure belongs to space group P4/mmm (No. 123); the cell edges are 4.553, 4.553 and 9.211 Å and the angles 90.00°, 90.00° and 90.00°. The distinct sites, in fractional coordinates, are Sr at (0.000, 0.000, 0.000), Y at (0.000, 0.000, 0.500), Zn at (0.500, 0.500, 0.371), Au at (0.000, 0.500, 0.244) and Au at (0.500, 0.500, 0.000).

SrYZn2Au2 | GGA-PBE | relaxed

As for the density of states at the Fermi level: 2.8 states/eV/f.u. The calculation puts the formation enthalpy at 0 K at -0.642 eV/atom. The calculation puts the total energy at -3.517 eV per atom.

The structure belongs to space group P-3m1 (No. 164); the cell edges are 4.5942, 4.5942 and 7.6993 Å and the angles 90.00°, 90.00° and 120.00°. The distinct sites, in fractional coordinates, are Sr at (0.0000, 0.0000, 0.0000), Y at (0.0000, 0.0000, 0.5000), Zn at (0.3333, 0.6667, 0.7137) and Au at (0.3333, 0.6667, 0.2893).